# 1
## Lu2BeGa (PBE)

Data for an optimized crystal structure of Lu2BeGa.

Cell and atoms, written as CIF:
```
data_Lu2BeGa
_chemical_formula_sum 'Lu8 Be4 Ga4'
_space_group_name_H-M_alt 'F m -3 m'
_space_group_IT_number 225
_space_group_name_Hall '-F 4 2 3'
_cell_length_a 6.825
_cell_length_b 6.825
_cell_length_c 6.825
_cell_angle_alpha 90.00
_cell_angle_beta 90.00
_cell_angle_gamma 90.00
loop_
_atom_site_label
_atom_site_type_symbol
_atom_site_fract_x
_atom_site_fract_y
_atom_site_fract_z
Lu1 Lu 0.250 0.250 0.250
Be1 Be 0.000 0.000 0.000
Ga1 Ga 0.000 0.000 0.500
```

D(E_F) ... 11.735 states/eV/cell
Density ... 8.96 g/cm³
Calculated total energy ... -67.214 eV/cell
Energy relative to the elements ... -0.252 eV per atom

***

# 2
## Lu2BeGa (PBE)

Data for an optimized crystal structure of Lu2BeGa.

Cell and atoms, written as CIF:
```
data_Lu2BeGa
_chemical_formula_sum 'Lu6 Be3 Ga3'
_space_group_name_H-M_alt 'R -3 m'
_space_group_IT_number 166
_space_group_name_Hall '-R 3 2"'
_cell_length_a 3.3280
_cell_length_b 3.3280
_cell_length_c 30.3144
_cell_angle_alpha 90.00
_cell_angle_beta 90.00
_cell_angle_gamma 120.00
loop_
_atom_site_label
_atom_site_type_symbol
_atom_site_fract_x
_atom_site_fract_y
_atom_site_fract_z
Lu1 Lu 0.0000 0.0000 0.0938
Be1 Be 0.0000 0.0000 0.0000
Ga1 Ga 0.0000 0.0000 0.5000
```

D(E_F) ... 8.492 states/eV/cell
Density ... 7.34 g/cm³
Calculated total energy ... -41.709 eV/cell
Energy relative to the elements ... 0.473 eV per atom

***

# 3
## Lu2BeGa (PBE)

Data for an optimized crystal structure of Lu2BeGa.

Cell and atoms, written as CIF:
```
data_Lu2BeGa
_chemical_formula_sum 'Lu2 Be1 Ga1'
_space_group_name_H-M_alt 'P 4/m m m'
_space_group_IT_number 123
_space_group_name_Hall '-P 4 2'
_cell_length_a 3.399
_cell_length_b 3.399
_cell_length_c 6.848
_cell_angle_alpha 90.00
_cell_angle_beta 90.00
_cell_angle_gamma 90.00
loop_
_atom_site_label
_atom_site_type_symbol
_atom_site_fract_x
_atom_site_fract_y
_atom_site_fract_z
Lu1 Lu 0.000 0.000 0.235
Be1 Be 0.500 0.500 0.000
Ga1 Ga 0.500 0.500 0.500
```

D(E_F) ... 2.136 states/eV/cell
Density ... 9.00 g/cm³
Calculated total energy ... -16.864 eV/cell
Energy relative to the elements ... -0.267 eV per atom

***

# 4
## NdLuBeGa (PBE)

Data for an optimized crystal structure of NdLuBeGa.

Cell and atoms, written as CIF:
```
data_NdLuBeGa
_chemical_formula_sum 'Nd4 Lu4 Be4 Ga4'
_space_group_name_H-M_alt 'F -4 3 m'
_space_group_IT_number 216
_space_group_name_Hall 'F -4 2 3'
_cell_length_a 7.050
_cell_length_b 7.050
_cell_length_c 7.050
_cell_angle_alpha 90.00
_cell_angle_beta 90.00
_cell_angle_gamma 90.00
loop_
_atom_site_label
_atom_site_type_symbol
_atom_site_fract_x
_atom_site_fract_y
_atom_site_fract_z
Nd1 Nd 0.000 0.000 0.000
Lu1 Lu 0.000 0.000 0.500
Be1 Be 0.250 0.250 0.250
Ga1 Ga 0.250 0.250 0.750
```

D(E_F) ... 12.949 states/eV/cell
Density ... 7.54 g/cm³
Calculated total energy ... -67.236 eV/cell
Energy relative to the elements ... -0.192 eV per atom

***

# 5
## PmLuBeGa (PBE)

Data for an optimized crystal structure of PmLuBeGa.

Cell and atoms, written as CIF:
```
data_PmLuBeGa
_chemical_formula_sum 'Pm4 Lu4 Be4 Ga4'
_space_group_name_H-M_alt 'F -4 3 m'
_space_group_IT_number 216
_space_group_name_Hall 'F -4 2 3'
_cell_length_a 7.017
_cell_length_b 7.017
_cell_length_c 7.017
_cell_angle_alpha 90.00
_cell_angle_beta 90.00
_cell_angle_gamma 90.00
loop_
_atom_site_label
_atom_site_type_symbol
_atom_site_fract_x
_atom_site_fract_y
_atom_site_fract_z
Pm1 Pm 0.000 0.000 0.000
Lu1 Lu 0.000 0.000 0.500
Be1 Be 0.250 0.250 0.250
Ga1 Ga 0.250 0.250 0.750
```

D(E_F) ... 12.778 states/eV/cell
Density ... 7.66 g/cm³
Calculated total energy ... -67.406 eV/cell
Energy relative to the elements ... -0.207 eV per atom

***

# 6
## PrLuBeGa (PBE)

Data for an optimized crystal structure of PrLuBeGa.

Cell and atoms, written as CIF:
```
data_PrLuBeGa
_chemical_formula_sum 'Pr4 Lu4 Be4 Ga4'
_space_group_name_H-M_alt 'F -4 3 m'
_space_group_IT_number 216
_space_group_name_Hall 'F -4 2 3'
_cell_length_a 7.085
_cell_length_b 7.085
_cell_length_c 7.085
_cell_angle_alpha 90.00
_cell_angle_beta 90.00
_cell_angle_gamma 90.00
loop_
_atom_site_label
_atom_site_type_symbol
_atom_site_fract_x
_atom_site_fract_y
_atom_site_fract_z
Pr1 Pr 0.000 0.000 0.000
Lu1 Lu 0.000 0.000 0.500
Be1 Be 0.250 0.250 0.750
Ga1 Ga 0.250 0.250 0.250
```

D(E_F) ... 13.474 states/eV/cell
Density ... 7.37 g/cm³
Calculated total energy ... -67.046 eV/cell
Energy relative to the elements ... -0.177 eV per atom